Computed, not measured: an optimized crystal structure of Ca4RuPb at the PBE-GGA level of DFT.

Calculated values
E_tot, eV/atom: -2.85
E_form, eV per atom: 0.653
Crystal system: cubic
Total moment, μB/atom: 0.000
DOS at the Fermi energy, states/eV/f.u.: 3.3
SG: No. 216

Cell: 6.1766 6.1766 6.1766 Å, 60.00 60.00 60.00°
Element x y z (fractional)
1 Ca 0.3760 0.3760 0.3760
2 Ca 0.3760 0.3760 0.8720
3 Ca 0.3760 0.8720 0.3760
4 Ca 0.8720 0.3760 0.3760
5 Ru 0.7500 0.7500 0.7500
6 Pb 0.0000 0.0000 0.0000